Computed, not measured: a relaxed structure of CrMo2Os at the PBE-GGA level of DFT.

Structure (CIF):
```
data_CrMo2Os
_chemical_formula_sum 'Cr1 Mo2 Os1'
_cell_length_a 2.712
_cell_length_b 4.274
_cell_length_c 5.130
_cell_angle_alpha 90.00
_cell_angle_beta 101.62
_cell_angle_gamma 90.00
_symmetry_space_group_name_H-M 'P 1 2/m 1'
_symmetry_Int_Tables_number 10
_symmetry_space_group_name_Hall '-P 2y'
loop_
_atom_site_label
_atom_site_type_symbol
_atom_site_fract_x
_atom_site_fract_y
_atom_site_fract_z
_atom_site_occupancy
Cr1 Cr 0.000 0.000 0.000 1
Mo1 Mo 0.219 0.500 0.756 1
Os1 Os 0.500 0.000 0.500 1
```

Computed properties:
The size of the total moment comes out at 0.0 μB per formula unit. For the energy above the lowest structure with this stoichiometry, the calculation gives 0.0380 eV/atom. The calculation puts the density of states at the Fermi level at 4.48 states/eV per cell. The value obtained for the energy of formation from the pure elements is 0.15 eV/atom. The mass density is 12.37 g/cm³.